# PBEsol Zr2ZnRu, optimized geometry
# * space group: P4/mmm, No. 123
# * size of the total moment: 0.0000 μB/atom
# * N(E_F): 0.43 states/eV/atom
# * energy relative to the elements: -1.73 eV/f.u.
data_Zr2ZnRu
_cell_length_a 3.243
_cell_length_b 3.243
_cell_length_c 6.587
_cell_angle_alpha 90.00
_cell_angle_beta 90.00
_cell_angle_gamma 90.00
_space_group_name_H-M_alt 'P 1'
_space_group_IT_number 1
loop_
_space_group_symop_operation_xyz
'x,y,z'
loop_
_atom_site_label
_atom_site_fract_x
_atom_site_fract_y
_atom_site_fract_z
_atom_site_occupancy
Ru1 0.500 0.500 0.500 1
Zr1 0.000 0.000 0.743 1
Zn1 0.500 0.500 0.000 1
Zr2 0.000 0.000 0.257 1



# PBEsol Zr2ZnRu, optimized geometry
# * space group: Pm, No. 6
# * size of the total moment: 0.0000 μB/atom
# * N(E_F): 0.65 states/eV/atom
# * energy relative to the elements: -1.42 eV/f.u.
data_Zr2ZnRu
_cell_length_a 3.233
_cell_length_b 4.312
_cell_length_c 5.293
_cell_angle_alpha 90.00
_cell_angle_beta 106.25
_cell_angle_gamma 90.00
_space_group_name_H-M_alt 'P 1'
_space_group_IT_number 1
loop_
_space_group_symop_operation_xyz
'x,y,z'
loop_
_atom_site_label
_atom_site_fract_x
_atom_site_fract_y
_atom_site_fract_z
_atom_site_occupancy
Zn1 0.448 0.500 0.783 1
Zr1 0.740 0.500 0.335 1
Ru1 0.293 0.000 0.450 1
Zr2 0.019 0.000 0.932 1



# PBEsol ZrRu, optimized geometry
# * space group: R-3m, No. 166
# * size of the total moment: 0.0000 μB/atom
# * N(E_F): 0.79 states/eV/atom
# * energy relative to the elements: -0.30 eV/f.u.
data_ZrRu
_cell_length_a 3.155
_cell_length_b 3.155
_cell_length_c 4.426
_cell_angle_alpha 69.12
_cell_angle_beta 69.12
_cell_angle_gamma 60.00
_space_group_name_H-M_alt 'P 1'
_space_group_IT_number 1
loop_
_space_group_symop_operation_xyz
'x,y,z'
loop_
_atom_site_label
_atom_site_fract_x
_atom_site_fract_y
_atom_site_fract_z
_atom_site_occupancy
Zr1 0.500 0.500 0.500 1
Ru1 0.000 0.000 0.000 1



# PBEsol ZrRu3, optimized geometry
# * space group: R-3m, No. 166
# * size of the total moment: 0.0001 μB/atom
# * N(E_F): 1.30 states/eV/atom
# * energy relative to the elements: 0.86 eV/f.u.
data_ZrRu3
_cell_length_a 2.738
_cell_length_b 2.738
_cell_length_c 9.345
_cell_angle_alpha 81.58
_cell_angle_beta 81.58
_cell_angle_gamma 60.00
_space_group_name_H-M_alt 'P 1'
_space_group_IT_number 1
loop_
_space_group_symop_operation_xyz
'x,y,z'
loop_
_atom_site_label
_atom_site_fract_x
_atom_site_fract_y
_atom_site_fract_z
_atom_site_occupancy
Zr1 0.500 0.500 0.500 1
Ru1 0.743 0.743 0.771 1
Ru2 0.000 0.000 0.000 1
Ru3 0.257 0.257 0.229 1



# PBEsol Zr3Ru, optimized geometry
# * space group: Pnma, No. 62
# * size of the total moment: 0.0000 μB/atom
# * N(E_F): 1.01 states/eV/atom
# * energy relative to the elements: -0.94 eV/f.u.
data_Zr3Ru
_cell_length_a 5.713
_cell_length_b 6.177
_cell_length_c 9.140
_cell_angle_alpha 90.00
_cell_angle_beta 90.00
_cell_angle_gamma 90.00
_space_group_name_H-M_alt 'P 1'
_space_group_IT_number 1
loop_
_space_group_symop_operation_xyz
'x,y,z'
loop_
_atom_site_label
_atom_site_fract_x
_atom_site_fract_y
_atom_site_fract_z
_atom_site_occupancy
Zr1 0.132 0.706 0.053 1
Zr2 0.368 0.206 0.447 1
Zr3 0.334 0.462 0.750 1
Ru1 0.386 0.891 0.250 1
Zr4 0.666 0.538 0.250 1
Zr5 0.166 0.962 0.750 1
Ru2 0.886 0.609 0.750 1
Zr6 0.868 0.294 0.553 1
Zr7 0.368 0.206 0.053 1
Zr8 0.632 0.794 0.553 1
Ru3 0.614 0.109 0.750 1
Zr9 0.132 0.706 0.447 1
Ru4 0.114 0.391 0.250 1
Zr10 0.834 0.038 0.250 1
Zr11 0.632 0.794 0.947 1
Zr12 0.868 0.294 0.947 1



# PBEsol Zr3Ru, optimized geometry
# * space group: Immm, No. 71
# * size of the total moment: 0.0000 μB/atom
# * N(E_F): 0.96 states/eV/atom
# * energy relative to the elements: -1.17 eV/f.u.
data_Zr3Ru
_cell_length_a 3.289
_cell_length_b 4.845
_cell_length_c 5.645
_cell_angle_alpha 115.41
_cell_angle_beta 106.94
_cell_angle_gamma 90.00
_space_group_name_H-M_alt 'P 1'
_space_group_IT_number 1
loop_
_space_group_symop_operation_xyz
'x,y,z'
loop_
_atom_site_label
_atom_site_fract_x
_atom_site_fract_y
_atom_site_fract_z
_atom_site_occupancy
Zr1 0.725 0.225 0.451 1
Zr2 0.275 0.775 0.549 1
Zr3 0.500 0.500 0.000 1
Ru1 0.000 0.000 0.000 1



# PBEsol ZrRu, optimized geometry
# * space group: P-3m1, No. 164
# * size of the total moment: 0.0002 μB/atom
# * N(E_F): 1.41 states/eV/atom
# * energy relative to the elements: 0.40 eV/f.u.
data_ZrRu
_cell_length_a 2.862
_cell_length_b 2.862
_cell_length_c 9.642
_cell_angle_alpha 90.00
_cell_angle_beta 90.00
_cell_angle_gamma 120.00
_space_group_name_H-M_alt 'P 1'
_space_group_IT_number 1
loop_
_space_group_symop_operation_xyz
'x,y,z'
loop_
_atom_site_label
_atom_site_fract_x
_atom_site_fract_y
_atom_site_fract_z
_atom_site_occupancy
Ru1 0.333 0.667 0.898 1
Zr1 0.333 0.667 0.352 1
Zr2 0.667 0.333 0.648 1
Ru2 0.667 0.333 0.102 1



# PBEsol ZrRu, optimized geometry
# * space group: Pm-3m, No. 221
# * size of the total moment: 0.0000 μB/atom
# * N(E_F): 0.26 states/eV/atom
# * energy relative to the elements: -1.26 eV/f.u.
data_ZrRu
_cell_length_a 3.229
_cell_length_b 3.229
_cell_length_c 3.229
_cell_angle_alpha 90.00
_cell_angle_beta 90.00
_cell_angle_gamma 90.00
_space_group_name_H-M_alt 'P 1'
_space_group_IT_number 1
loop_
_space_group_symop_operation_xyz
'x,y,z'
loop_
_atom_site_label
_atom_site_fract_x
_atom_site_fract_y
_atom_site_fract_z
_atom_site_occupancy
Ru1 0.500 0.500 0.500 1
Zr1 0.000 0.000 0.000 1



# PBEsol ZrRu3, optimized geometry
# * space group: P4/mmm, No. 123
# * size of the total moment: 0.0001 μB/atom
# * N(E_F): 0.98 states/eV/atom
# * energy relative to the elements: 0.17 eV/f.u.
data_ZrRu3
_cell_length_a 2.797
_cell_length_b 2.797
_cell_length_c 7.722
_cell_angle_alpha 90.00
_cell_angle_beta 90.00
_cell_angle_gamma 90.00
_space_group_name_H-M_alt 'P 1'
_space_group_IT_number 1
loop_
_space_group_symop_operation_xyz
'x,y,z'
loop_
_atom_site_label
_atom_site_fract_x
_atom_site_fract_y
_atom_site_fract_z
_atom_site_occupancy
Ru1 0.500 0.500 0.500 1
Ru2 0.000 0.000 0.722 1
Ru3 0.000 0.000 0.278 1
Zr1 0.500 0.500 0.000 1